A geometry-optimized PaCuPt structure. Source: the Alexandria database, functional PBE.

Unit cell a=4.4289 b=4.6553 c=5.8248 alpha=90.00 beta=112.20 gamma=90.00
Closest atoms and distances in Å follow each position.
Space group P2_1/m (No. 11)
Symmetry-distinct sites (fractional):
Pa 0.0796 0.2500 0.1731 (multiplicity 2)  4 Pt 2.79-2.98, 2 Cu 2.94, 2 Pa 2.98
Cu 0.4016 0.2500 0.8146 (multiplicity 2)  2 Pt 2.65-2.67, 2 Pa 2.94
Pt 0.2368 0.7500 0.4579 (multiplicity 2)  2 Cu 2.65-2.67, 2 Pa 2.79

Results
* energy of formation from the pure elements: -0.441 eV per atom
* DFT total energy: -6.9856 eV per atom
* energy relative to the lowest polymorph listed for this composition: 0.194 eV per atom
* magnetic moment: 0.00 μB per atom

A geometry-optimized PaCuPt4 structure. Source: the Alexandria database, functional PBE.

Unit cell a=7.5205 b=7.5205 c=7.5205 alpha=90.00 beta=90.00 gamma=90.00
Closest atoms and distances in Å follow each position.
Space group F-43m (No. 216)
Symmetry-distinct sites (fractional):
Pa 0.0000 0.0000 0.0000 (multiplicity 4)  12 Pt 3.12, 4 Cu 3.26
Cu 0.2500 0.2500 0.2500 (multiplicity 4)  12 Pt 3.12, 4 Pa 3.26
Pt 0.1243 0.1243 0.6243 (multiplicity 16)  6 Pt 2.64-2.67

Results
* energy of formation from the pure elements: -0.689 eV per atom
* DFT total energy: -6.9818 eV per atom
* energy relative to the lowest polymorph listed for this composition: 0.000 eV per atom
* magnetic moment: 0.00 μB per atom

A geometry-optimized Pa2CuPt structure. Source: the Alexandria database, functional PBE.

Unit cell a=3.0708 b=3.0708 c=30.6632 alpha=90.00 beta=90.00 gamma=120.00
Closest atoms and distances in Å follow each position.
Space group R-3m (No. 166, hexagonal axes)
Symmetry-distinct sites (fractional):
Pa 0.0000 0.0000 0.0889 (multiplicity 6)  1 Pt 2.73, 3 Cu 2.97
Cu 0.0000 0.0000 0.5000 (multiplicity 3)  6 Pa 2.97, 6 Cu 3.07
Pt 0.0000 0.0000 0.0000 (multiplicity 3)  2 Pa 2.73

Results
* energy of formation from the pure elements: 0.138 eV per atom
* DFT total energy: -7.1438 eV per atom
* energy relative to the lowest polymorph listed for this composition: 0.518 eV per atom
* magnetic moment: 0.00 μB per atom

A geometry-optimized Pa2CuPt6 structure. Source: the Alexandria database, functional PBE.

Unit cell a=9.9465 b=5.7446 c=5.7260 alpha=90.00 beta=90.07 gamma=90.00
Closest atoms and distances in Å follow each position.
Space group C2/m (No. 12)
Symmetry-distinct sites (fractional):
Pa 0.1668 0.0000 0.3075 (multiplicity 4)  12 Pt 2.95-3.27
Cu 0.0000 0.5000 0.5000 (multiplicity 2)  6 Pt 2.47-2.48
Pt 0.0875 0.2372 0.8074 (multiplicity 8)  1 Cu 2.48, 2 Pt 2.73
Pt 0.1751 0.5000 0.1934 (multiplicity 4)  1 Cu 2.47, 2 Pt 2.73

Results
* energy of formation from the pure elements: -0.788 eV per atom
* DFT total energy: -7.3806 eV per atom
* magnetic moment: 0.00 μB per atom

A geometry-optimized PaCu2Pt3 structure. Source: the Alexandria database, functional PBE.

Unit cell a=4.1362 b=11.9522 c=4.0006 alpha=90.00 beta=90.00 gamma=90.00
Closest atoms and distances in Å follow each position.
Space group Cmmm (No. 65)
Symmetry-distinct sites (fractional):
Pa 0.0000 0.0000 0.0000 (multiplicity 2)  8 Pt 2.85-2.88, 4 Cu 2.95
Cu 0.0000 0.3236 0.0000 (multiplicity 4)  2 Cu 2.72, 8 Pt 2.72-2.91, 2 Pa 2.95
Pt 0.0000 0.1697 0.5000 (multiplicity 4)  6 Cu 2.72-2.88, 4 Pt 2.82-2.90, 2 Pa 2.85
Pt 0.0000 0.5000 0.5000 (multiplicity 2)  4 Pa 2.88, 4 Pt 2.90, 4 Cu 2.91

Results
* energy of formation from the pure elements: -0.563 eV per atom
* DFT total energy: -6.5311 eV per atom
* magnetic moment: 0.00 μB per atom

A geometry-optimized PaCu2Pt structure. Source: the Alexandria database, functional PBE.

Unit cell a=6.4624 b=6.4624 c=6.4624 alpha=90.00 beta=90.00 gamma=90.00
Closest atoms and distances in Å follow each position.
Space group Fm-3m (No. 225)
Symmetry-distinct sites (fractional):
Pa 0.0000 0.0000 0.0000 (multiplicity 4)  8 Cu 2.80
Cu 0.2500 0.2500 0.2500 (multiplicity 8)  4 Pa 2.80, 4 Pt 2.80
Pt 0.0000 0.0000 0.5000 (multiplicity 4)  8 Cu 2.80

Results
* energy of formation from the pure elements: -0.248 eV per atom
* DFT total energy: -6.1802 eV per atom
* energy relative to the lowest polymorph listed for this composition: 0.000 eV per atom
* magnetic moment: 0.00 μB per atom

A geometry-optimized PaCu8Pt3 structure. Source: the Alexandria database, functional PBE.

Unit cell a=4.9570 b=4.9570 c=7.8786 alpha=90.00 beta=90.00 gamma=120.00
Closest atoms and distances in Å follow each position.
Space group P3m1 (No. 156)
Symmetry-distinct sites (fractional):
Pa 0.0000 0.0000 0.0000 (multiplicity 1)  4 Pt 2.84-3.03, 12 Cu 2.91-2.92
Cu 0.1641 0.3282 0.6747 (multiplicity 3)  6 Cu 2.40-2.52
Cu 0.3333 0.6667 0.4324 (multiplicity 1)  6 Cu 2.38-2.40
Cu 0.3333 0.6667 0.9332 (multiplicity 1)  6 Cu 2.50-2.53
Cu 0.5042 0.0084 0.1945 (multiplicity 3)  6 Cu 2.38-2.54
Pt 0.0000 0.0000 0.3600 (multiplicity 1)  12 Cu 2.80-2.92, 1 Pa 2.84, 3 Pt 3.08
Pt 0.6667 0.3333 0.5040 (multiplicity 1)  12 Cu 2.81-2.92, 4 Pt 2.91-3.08
Pt 0.6667 0.3333 0.8735 (multiplicity 1)  12 Cu 2.89-2.93, 1 Pt 2.91, 3 Pa 3.03

Results
* energy of formation from the pure elements: -0.195 eV per atom
* DFT total energy: -5.2270 eV per atom
* magnetic moment: 0.00 μB per atom

A geometry-optimized PaCuPt6 structure. Source: the Alexandria database, functional PBE.

Unit cell a=4.6521 b=5.7498 c=5.0165 alpha=90.00 beta=90.00 gamma=90.00
Closest atoms and distances in Å follow each position.
Space group Pmm2 (No. 25)
Symmetry-distinct sites (fractional):
Pa 0.0000 0.0000 0.0000 (multiplicity 1)  12 Pt 2.87-2.93
Cu 0.5000 0.5000 0.3225 (multiplicity 1)  12 Pt 2.83-2.88
Pt 0.0000 0.2526 0.4970 (multiplicity 2)  8 Pt 2.83-2.91, 2 Cu 2.86, 2 Pa 2.89-2.91
Pt 0.0000 0.5000 0.0027 (multiplicity 1)  2 Cu 2.83, 8 Pt 2.84-2.91, 2 Pa 2.87
Pt 0.5000 0.0000 0.3546 (multiplicity 1)  8 Pt 2.81-3.04, 2 Cu 2.88, 2 Pa 2.93
Pt 0.5000 0.2619 0.8286 (multiplicity 2)  8 Pt 2.74-3.04, 2 Cu 2.83-2.88, 2 Pa 2.90

Results
* energy of formation from the pure elements: -0.538 eV per atom
* DFT total energy: -6.7677 eV per atom
* energy relative to the lowest polymorph listed for this composition: 0.012 eV per atom
* magnetic moment: 0.00 μB per atom

A geometry-optimized Pa2Cu5Pt structure. Source: the Alexandria database, functional PBE.

Unit cell a=4.0328 b=15.3137 c=8.8291 alpha=90.00 beta=90.00 gamma=90.00
Closest atoms and distances in Å follow each position.
Space group Cmcm (No. 63)
Symmetry-distinct sites (fractional):
Pa 0.0000 0.0000 0.0000 (multiplicity 4)  6 Cu 2.98-3.17, 4 Pt 3.11
Pa 0.0000 0.1990 0.2500 (multiplicity 4)  13 Cu 2.93-3.23, 2 Pt 2.97
Cu 0.0000 0.1828 0.6146 (multiplicity 8)  6 Cu 2.36-2.60
Cu 0.0000 0.3408 0.5188 (multiplicity 8)  4 Cu 2.36-2.56, 1 Pt 2.57
Cu 0.0000 0.3913 0.2500 (multiplicity 4)  6 Cu 2.50-2.60, 1 Pt 2.54
Pt 0.0000 0.4431 0.7500 (multiplicity 4)  3 Cu 2.54-2.57

Results
* energy of formation from the pure elements: -0.191 eV per atom
* DFT total energy: -5.8804 eV per atom
* magnetic moment: 0.00 μB per atom

A geometry-optimized Pa2CuPt structure. Source: the Alexandria database, functional PBE.

Unit cell a=6.9352 b=6.9352 c=6.9352 alpha=90.00 beta=90.00 gamma=90.00
Closest atoms and distances in Å follow each position.
Space group Fm-3m (No. 225)
Symmetry-distinct sites (fractional):
Pa 0.2500 0.2500 0.2500 (multiplicity 8)  4 Cu 3.00, 4 Pt 3.00
Cu 0.0000 0.0000 0.0000 (multiplicity 4)  8 Pa 3.00
Pt 0.0000 0.0000 0.5000 (multiplicity 4)  8 Pa 3.00

Results
* energy of formation from the pure elements: -0.290 eV per atom
* DFT total energy: -7.5719 eV per atom
* energy relative to the lowest polymorph listed for this composition: 0.090 eV per atom
* magnetic moment: 0.00 μB per atom

A geometry-optimized Pa2CuPt structure. Source: the Alexandria database, functional PBE.

Unit cell a=4.3684 b=4.3684 c=4.1925 alpha=90.00 beta=90.00 gamma=90.00
Closest atoms and distances in Å follow each position.
Space group P4/mmm (No. 123)
Symmetry-distinct sites (fractional):
Pa 0.0000 0.5000 0.0000 (multiplicity 2)  4 Cu 3.03, 4 Pt 3.03, 4 Pa 3.09
Cu 0.0000 0.0000 0.5000 (multiplicity 1)  8 Pa 3.03, 4 Pt 3.09
Pt 0.5000 0.5000 0.5000 (multiplicity 1)  8 Pa 3.03, 4 Cu 3.09

Results
* energy of formation from the pure elements: -0.380 eV per atom
* DFT total energy: -7.6622 eV per atom
* energy relative to the lowest polymorph listed for this composition: 0.000 eV per atom
* magnetic moment: 0.00 μB per atom

A geometry-optimized Pa3Cu2Pt4 structure. Source: the Alexandria database, functional PBE.

Unit cell a=11.8355 b=4.0043 c=8.4257 alpha=90.00 beta=117.04 gamma=90.00
Closest atoms and distances in Å follow each position.
Space group C2/m (No. 12)
Symmetry-distinct sites (fractional):
Pa 0.0000 0.0000 0.0000 (multiplicity 2)  6 Pt 2.89-2.93
Pa 0.1404 0.5000 0.6917 (multiplicity 4)  7 Pt 2.90-3.11, 3 Cu 3.00-3.02
Cu 0.1970 0.5000 0.3792 (multiplicity 4)  4 Pt 2.62-2.73, 2 Cu 2.72
Pt 0.0532 0.0000 0.3751 (multiplicity 4)  3 Cu 2.62-2.73, 3 Pa 2.90-2.93, 1 Pt 2.90
Pt 0.1913 0.5000 0.0631 (multiplicity 4)  1 Cu 2.63, 5 Pa 2.89-2.92, 2 Pt 2.90

Results
* energy of formation from the pure elements: -0.729 eV per atom
* DFT total energy: -7.4891 eV per atom
* magnetic moment: 0.00 μB per atom